Record 1
A relaxed structure of MnCdSe. Source: Alexandria, functional PBE-GGA. Values from VASP.

## Properties
**Calculated volume**: 18.258 Å³/atom
**Formation energy without anion corrections**: 0.069 eV per atom
**SG**: I4mm
**Polymorph energy (0 for the lowest one)**: 120.0 meV/atom
**Magnetic moment**: 0.183 μB per atom
**E_tot**: -4.45 eV per atom

```
&SYSTEM
  ibrav = 0, nat = 3, ntyp = 3
/
ATOMIC_SPECIES
Cd 112.41 Cd.upf
Mn 54.94 Mn.upf
Se 78.96 Se.upf
ATOMIC_POSITIONS angstrom
Cd -0.347 -2.563 1.504
Mn -6.220 -5.687 -3.215
Se -2.631 -3.779 -0.331
CELL_PARAMETERS angstrom
-5.542 -2.947 -1.877
-3.483 -4.231 -3.591
-0.087 -2.425 1.714
```

=====

Record 2
A relaxed structure of Sm5MgC2. Source: Alexandria, functional PBE-GGA. Values from VASP.

## Properties
**Calculated volume**: 23.829 Å³/atom
**Energy of formation**: 0.028 eV/atom
**SG**: Immm
**Magnetic moment**: 0.000 μB per atom
**E_tot**: -5.43 eV per atom

```
&SYSTEM
  ibrav = 0, nat = 8, ntyp = 3
/
ATOMIC_SPECIES
C 12.01 C.upf
Sm 150.36 Sm.upf
Mg 24.30 Mg.upf
ATOMIC_POSITIONS angstrom
C 2.696 2.078 3.883
C 0.193 4.200 0.970
Sm 2.136 2.525 1.060
Sm 1.847 5.612 -0.392
Sm 0.753 3.753 3.793
Sm 1.042 0.666 5.244
Sm -0.283 3.029 -1.425
Mg 0.000 0.000 0.000
CELL_PARAMETERS angstrom
3.704 0.000 -0.736
-0.566 6.057 -2.849
-0.249 0.221 8.438
```

=====

Record 3
A relaxed structure of NaPaBr4. Source: Alexandria, functional PBE-GGA. Values from VASP.

## Properties
**Calculated volume**: 36.414 Å³/atom
**Formation energy without anion corrections**: -1.386 eV per atom
**SG**: C2/m
**Magnetic moment**: 0.334 μB per atom
**E_tot**: -4.30 eV per atom

```
&SYSTEM
  ibrav = 0, nat = 6, ntyp = 3
/
ATOMIC_SPECIES
Br 79.90 Br.upf
Na 22.99 Na.upf
Pa 231.04 Pa.upf
ATOMIC_POSITIONS angstrom
Br 0.000 5.292 3.071
Br 1.969 1.727 1.342
Br 1.969 5.627 -1.000
Br 0.000 1.393 5.414
Na 1.969 -0.135 3.868
Pa 0.000 0.000 0.000
CELL_PARAMETERS angstrom
3.937 0.000 0.000
-1.969 7.290 -3.322
0.000 -0.271 7.735
```

=====

Record 4
A relaxed structure of ScTeBrN2. Source: Alexandria, functional PBE-GGA. Values from VASP.

## Properties
**Calculated volume**: 22.869 Å³/atom
**Formation energy without anion corrections**: 0.686 eV per atom
**SG**: P4/mmm
**Polymorph energy (0 for the lowest one)**: 0.0 meV/atom
**Magnetic moment**: 0.697 μB per atom
**E_tot**: -4.87 eV per atom

```
&SYSTEM
  ibrav = 0, nat = 5, ntyp = 4
/
ATOMIC_SPECIES
Te 127.60 Te.upf
N 14.01 N.upf
Sc 44.96 Sc.upf
Br 79.90 Br.upf
ATOMIC_POSITIONS angstrom
Te 2.604 -1.527 0.566
N -0.164 0.496 2.093
N -1.132 -1.805 0.339
Sc 0.000 0.000 0.000
Br 1.308 -2.836 2.998
CELL_PARAMETERS angstrom
-0.328 0.991 4.186
-2.264 -3.610 0.678
5.208 -3.053 1.131
```

=====

Record 5
A relaxed structure of LiEuYPt. Source: Alexandria, functional PBE-GGA. Values from VASP.

## Properties
**Calculated volume**: 22.932 Å³/atom
**Energy of formation**: -0.553 eV/atom
**SG**: F-43m
**Magnetic moment**: 1.745 μB per atom
**E_tot**: -6.73 eV per atom

```
&SYSTEM
  ibrav = 0, nat = 4, ntyp = 4
/
ATOMIC_SPECIES
Pt 195.08 Pt.upf
Eu 151.96 Eu.upf
Y 88.91 Y.upf
Li 6.94 Li.upf
ATOMIC_POSITIONS angstrom
Pt -0.731 2.617 5.573
Eu -1.097 3.925 8.359
Y -0.366 1.308 2.786
Li 0.000 0.000 0.000
CELL_PARAMETERS angstrom
-2.384 3.651 2.571
-1.442 -0.802 4.786
2.363 2.384 3.789
```

=====

Record 6
A relaxed structure of Fe2MoAs. Source: Alexandria, functional PBE-GGA. Values from VASP.

## Properties
**Calculated volume**: 13.452 Å³/atom
**Energy of formation**: 0.119 eV/atom
**SG**: Pmmm
**Magnetic moment**: 0.769 μB per atom
**E_tot**: -7.98 eV per atom

```
&SYSTEM
  ibrav = 0, nat = 4, ntyp = 3
/
ATOMIC_SPECIES
Fe 55.84 Fe.upf
As 74.92 As.upf
Mo 95.94 Mo.upf
ATOMIC_POSITIONS angstrom
Fe 0.000 2.923 2.511
Fe 0.000 2.933 5.031
As 1.828 4.387 3.765
Mo 1.828 1.462 1.255
CELL_PARAMETERS angstrom
3.657 0.000 0.000
0.000 2.918 -0.011
0.000 2.931 5.031
```

=====

Record 7
A relaxed structure of Pa2B4Os3. Source: Alexandria, functional PBE-GGA. Values from VASP.

## Properties
**Calculated volume**: 13.954 Å³/atom
**Energy of formation**: -0.009 eV/atom
**SG**: Fmmm
**Magnetic moment**: 0.000 μB per atom
**E_tot**: -8.83 eV per atom

```
&SYSTEM
  ibrav = 0, nat = 9, ntyp = 3
/
ATOMIC_SPECIES
B 10.81 B.upf
Pa 231.04 Pa.upf
Os 190.23 Os.upf
ATOMIC_POSITIONS angstrom
B 3.751 0.982 1.643
B 2.312 -1.398 3.254
B -0.874 3.778 1.643
B -2.312 1.398 3.254
Pa 0.000 0.000 3.462
Pa 1.439 2.380 1.435
Os 2.692 -0.003 0.000
Os -1.254 2.383 0.000
Os 0.000 0.000 0.000
CELL_PARAMETERS angstrom
5.384 -0.005 0.000
-2.507 4.765 0.000
-1.439 -2.380 4.898
```

=====

Record 8
A relaxed structure of NaHoTlCl5. Source: Alexandria, functional PBE-GGA. Values from VASP.

## Properties
**Calculated volume**: 32.927 Å³/atom
**Formation energy without anion corrections**: -1.846 eV per atom
**SG**: C2/c
**Magnetic moment**: 0.000 μB per atom
**E_tot**: -4.03 eV per atom

```
&SYSTEM
  ibrav = 0, nat = 16, ntyp = 4
/
ATOMIC_SPECIES
Tl 204.38 Tl.upf
Ho 164.93 Ho.upf
Cl 35.45 Cl.upf
Na 22.99 Na.upf
ATOMIC_POSITIONS angstrom
Tl 0.034 -4.528 -0.526
Tl -6.062 -4.073 -1.666
Ho 0.000 0.000 0.000
Ho -4.533 -1.353 1.658
Cl 1.611 -6.352 2.296
Cl -4.208 -1.367 -3.947
Cl -6.160 -6.966 -0.133
Cl -2.226 -4.919 -2.864
Cl -1.821 -7.235 1.755
Cl 0.131 -1.635 -2.059
Cl -3.802 -3.682 0.673
Cl -7.639 -2.249 -4.488
Cl -5.244 -6.766 3.970
Cl -0.784 -1.835 -6.162
Na -4.249 -6.171 1.579
Na -1.779 -2.431 -3.771
CELL_PARAMETERS angstrom
-1.240 0.245 -7.692
4.278 -6.139 2.184
-9.066 -2.706 3.316
```

=====

Record 9
A relaxed structure of AlGaH3. Source: Alexandria, functional PBE-GGA. Values from VASP.

## Properties
**Calculated volume**: 10.249 Å³/atom
**SG**: Pm-3m
**Polymorph energy (0 for the lowest one)**: 0.0 meV/atom
**Magnetic moment**: 0.000 μB per atom
**E_tot**: -3.09 eV per atom

```
&SYSTEM
  ibrav = 0, nat = 5, ntyp = 3
/
ATOMIC_SPECIES
H 1.01 H.upf
Ga 69.72 Ga.upf
Al 26.98 Al.upf
ATOMIC_POSITIONS angstrom
H -1.109 1.374 -0.575
H -1.205 -0.406 1.354
H 0.877 1.181 1.134
Ga -1.437 2.150 1.913
Al 0.000 0.000 0.000
CELL_PARAMETERS angstrom
-2.218 2.749 -1.150
-2.409 -0.811 2.708
1.753 2.363 2.267
```

=====

Record 10
A relaxed structure of Rb2InPdI6. Source: Alexandria, functional PBE-GGA. Values from VASP.

## Properties
**Calculated volume**: 40.625 Å³/atom
**Formation energy without anion corrections**: -0.774 eV per atom
**SG**: I4/mmm
**Magnetic moment**: 0.000 μB per atom
**E_tot**: -2.69 eV per atom

```
&SYSTEM
  ibrav = 0, nat = 10, ntyp = 4
/
ATOMIC_SPECIES
I 126.90 I.upf
In 114.82 In.upf
Pd 106.42 Pd.upf
Rb 85.47 Rb.upf
ATOMIC_POSITIONS angstrom
I -2.043 -2.222 0.495
I -6.915 -8.760 4.788
I -5.837 -2.343 1.719
I -2.016 -6.198 0.184
I -5.810 -6.319 1.408
I -3.052 -4.475 3.641
In 0.000 0.000 0.000
Pd -3.927 -4.270 0.951
Rb -2.993 -8.627 3.415
Rb -6.975 -4.609 5.014
CELL_PARAMETERS angstrom
-7.909 -0.253 2.551
0.056 -8.288 -0.648
-2.115 -4.694 6.527
```

=====

Record 11
A relaxed structure of Cs2K4GaAs2. Source: Alexandria, functional PBE-GGA. Values from VASP.

## Properties
**Calculated volume**: 66.337 Å³/atom
**Energy of formation**: -0.233 eV/atom
**SG**: C2/m
**Magnetic moment**: 0.000 μB per atom
**E_tot**: -2.28 eV per atom

```
&SYSTEM
  ibrav = 0, nat = 9, ntyp = 4
/
ATOMIC_SPECIES
As 74.92 As.upf
K 39.10 K.upf
Ga 69.72 Ga.upf
Cs 132.91 Cs.upf
ATOMIC_POSITIONS angstrom
As -1.184 1.318 2.782
As -7.073 5.630 16.939
K 1.309 2.364 8.865
K -9.566 4.583 10.856
K -1.000 5.081 14.267
K -7.257 1.867 5.454
Ga -0.490 2.390 0.882
Cs -4.934 2.207 12.068
Cs -3.323 4.740 7.652
CELL_PARAMETERS angstrom
-0.980 4.780 1.764
-9.904 0.720 6.483
2.627 1.448 11.473
```

=====

Record 12
A relaxed structure of Sm6Co2IrCl3. Source: Alexandria, functional PBE-GGA. Values from VASP.

## Properties
**Calculated volume**: 25.450 Å³/atom
**Formation energy without anion corrections**: -0.957 eV per atom
**SG**: C2/m
**Magnetic moment**: 0.000 μB per atom
**E_tot**: -5.70 eV per atom

```
&SYSTEM
  ibrav = 0, nat = 12, ntyp = 4
/
ATOMIC_SPECIES
Sm 150.36 Sm.upf
Cl 35.45 Cl.upf
Ir 192.22 Ir.upf
Co 58.93 Co.upf
ATOMIC_POSITIONS angstrom
Sm -1.181 2.042 1.503
Sm 2.359 -0.003 1.503
Sm -0.067 3.972 5.973
Sm 0.039 0.067 5.972
Sm 3.473 1.927 5.973
Sm 2.254 3.902 1.504
Cl -2.260 3.952 3.738
Cl 1.146 1.984 3.738
Cl 4.552 0.017 3.738
Ir 0.000 0.000 0.000
Co 0.001 3.965 0.003
Co 3.434 1.982 0.003
CELL_PARAMETERS angstrom
6.871 -0.003 0.003
-3.437 5.950 0.003
-1.142 -1.978 7.470
```

=====

Record 13
A relaxed structure of Sr12Pd5N2. Source: Alexandria, functional PBE-GGA. Values from VASP.

## Properties
**Calculated volume**: 32.765 Å³/atom
**Formation energy without anion corrections**: -0.475 eV per atom
**SG**: C2/m
**Magnetic moment**: 0.000 μB per atom
**E_tot**: -3.78 eV per atom

```
&SYSTEM
  ibrav = 0, nat = 19, ntyp = 3
/
ATOMIC_SPECIES
Pd 106.42 Pd.upf
Sr 87.62 Sr.upf
N 14.01 N.upf
ATOMIC_POSITIONS angstrom
Pd -8.226 1.112 -2.739
Pd -1.275 -3.495 -3.426
Pd -3.747 0.832 -4.119
Pd -4.578 0.256 1.379
Pd -5.754 -3.215 -2.047
Sr -7.484 0.387 2.220
Sr -8.493 -2.071 -3.001
Sr -3.389 -5.271 -1.841
Sr -1.008 -0.312 -3.164
Sr -6.112 2.888 -4.325
Sr -7.870 -4.828 -0.422
Sr -2.017 -2.770 -8.386
Sr -1.448 -5.666 -5.705
Sr -8.053 3.283 -0.461
Sr -4.041 -2.383 -4.544
Sr -5.460 0.000 -1.622
Sr -1.631 2.445 -5.744
N -0.980 4.340 -4.062
N -0.317 1.403 -1.313
CELL_PARAMETERS angstrom
-1.297 5.743 -5.375
0.952 -8.639 -3.548
-9.156 0.513 2.758
```

=====

Record 14
A relaxed structure of Na2PuCl5. Source: Alexandria, functional PBE-GGA. Values from VASP.

## Properties
**Calculated volume**: 32.299 Å³/atom
**Formation energy without anion corrections**: -1.838 eV per atom
**SG**: Cmcm
**Magnetic moment**: 0.625 μB per atom
**E_tot**: -5.11 eV per atom

```
&SYSTEM
  ibrav = 0, nat = 16, ntyp = 3
/
ATOMIC_SPECIES
Pu 244.00 Pu.upf
Na 22.99 Na.upf
Cl 35.45 Cl.upf
ATOMIC_POSITIONS angstrom
Pu -2.242 -3.686 0.040
Pu -8.182 -7.784 2.564
Na -6.368 -5.325 -0.414
Na -6.550 -9.674 6.262
Na -4.057 -6.144 3.018
Na -3.875 -1.795 -3.658
Cl -3.678 -6.044 0.073
Cl -0.921 -1.429 0.492
Cl -4.709 -2.649 -0.728
Cl -2.594 -3.798 2.668
Cl -1.627 -3.140 -2.596
Cl -8.798 -8.329 5.200
Cl -5.716 -8.821 3.332
Cl -6.747 -5.425 2.531
Cl -9.504 -10.040 2.112
Cl -7.831 -7.672 -0.064
CELL_PARAMETERS angstrom
-4.607 2.797 -0.497
0.580 -5.209 -5.223
-6.398 -9.058 8.324
```

=====

Record 15
A relaxed structure of Ta2HgOs. Source: Alexandria, functional PBE-GGA. Values from VASP.

## Properties
**Calculated volume**: 17.879 Å³/atom
**Energy of formation**: 0.242 eV/atom
**SG**: R-3m
**Magnetic moment**: 0.000 μB per atom
**E_tot**: -8.57 eV per atom

```
&SYSTEM
  ibrav = 0, nat = 4, ntyp = 3
/
ATOMIC_SPECIES
Ta 180.95 Ta.upf
Hg 200.59 Hg.upf
Os 190.23 Os.upf
ATOMIC_POSITIONS angstrom
Ta -0.171 0.064 0.052
Ta -12.787 4.807 3.877
Hg -6.479 2.436 1.964
Os -19.438 7.308 5.893
CELL_PARAMETERS angstrom
-8.574 4.412 1.391
-9.307 1.723 2.306
-8.036 3.608 4.161
```

=====

Record 16
A relaxed structure of La2Pm2Y4Ho. Source: Alexandria, functional PBE-GGA. Values from VASP.

## Properties
**Calculated volume**: 33.685 Å³/atom
**Energy of formation**: 0.002 eV/atom
**SG**: C2/m
**Magnetic moment**: 0.000 μB per atom
**E_tot**: -5.53 eV per atom

```
&SYSTEM
  ibrav = 0, nat = 9, ntyp = 4
/
ATOMIC_SPECIES
Y 88.91 Y.upf
Ho 164.93 Ho.upf
La 138.91 La.upf
Pm 145.00 Pm.upf
ATOMIC_POSITIONS angstrom
Y 1.174 1.758 2.904
Y -5.643 -0.796 6.407
Y -2.694 1.276 6.183
Y -1.775 -0.315 3.127
Ho 0.000 0.000 0.000
La -6.298 -0.511 0.630
La 1.829 1.473 8.680
Pm 0.592 -0.289 5.770
Pm -5.061 1.251 3.541
CELL_PARAMETERS angstrom
-0.274 3.642 0.211
-9.261 -2.583 0.819
5.067 -0.097 8.281
```

=====

Record 17
A relaxed structure of Zn2BrCl. Source: Alexandria, functional PBE-GGA. Values from VASP.

## Properties
**Calculated volume**: 27.177 Å³/atom
**Formation energy without anion corrections**: -0.178 eV per atom
**SG**: Immm
**Polymorph energy (0 for the lowest one)**: 436.5 meV/atom
**Magnetic moment**: 0.000 μB per atom
**E_tot**: -1.70 eV per atom

```
&SYSTEM
  ibrav = 0, nat = 4, ntyp = 3
/
ATOMIC_SPECIES
Zn 65.41 Zn.upf
Br 79.90 Br.upf
Cl 35.45 Cl.upf
ATOMIC_POSITIONS angstrom
Zn -5.294 -4.033 3.563
Zn -2.713 -2.066 1.826
Br -0.008 -2.326 1.387
Cl -0.649 0.847 4.027
CELL_PARAMETERS angstrom
-3.310 1.140 4.436
-2.028 -5.206 -0.844
4.681 2.588 1.822
```

=====

Record 18
A relaxed structure of Zr2PN. Source: Alexandria, functional PBE-GGA. Values from VASP.

## Properties
**Calculated volume**: 19.556 Å³/atom
**Formation energy without anion corrections**: -1.051 eV per atom
**SG**: I-42d
**Polymorph energy (0 for the lowest one)**: 342.2 meV/atom
**Magnetic moment**: 0.000 μB per atom
**E_tot**: -8.76 eV per atom

```
&SYSTEM
  ibrav = 0, nat = 8, ntyp = 3
/
ATOMIC_SPECIES
N 14.01 N.upf
P 30.97 P.upf
Zr 91.22 Zr.upf
ATOMIC_POSITIONS angstrom
N -0.682 1.032 -3.650
N -3.409 -0.669 -5.656
P -3.793 3.001 -4.546
P 0.000 0.000 0.000
Zr -4.909 0.812 -5.206
Zr -2.098 2.387 -2.752
Zr -5.554 2.168 -8.272
Zr -1.845 -0.705 -4.174
CELL_PARAMETERS angstrom
-1.066 4.702 -2.540
-0.298 -2.638 -4.759
-5.840 0.267 -2.903
```

=====

Record 19
A relaxed structure of CdHIr2. Source: Alexandria, functional PBE-GGA. Values from VASP.

## Properties
**Calculated volume**: 14.265 Å³/atom
**SG**: I-42d
**Polymorph energy (0 for the lowest one)**: 0.0 meV/atom
**Magnetic moment**: 0.000 μB per atom
**E_tot**: -5.07 eV per atom

```
&SYSTEM
  ibrav = 0, nat = 8, ntyp = 3
/
ATOMIC_SPECIES
Ir 192.22 Ir.upf
Cd 112.41 Cd.upf
H 1.01 H.upf
ATOMIC_POSITIONS angstrom
Ir -1.583 -1.708 2.846
Ir -1.156 -4.466 1.834
Ir -1.114 -5.767 4.254
Ir -3.040 -6.802 6.263
Cd 0.000 0.000 0.000
Cd -2.586 -3.364 5.038
H -2.032 -2.977 1.762
H -0.861 -6.007 2.560
CELL_PARAMETERS angstrom
-3.757 -0.334 4.239
-0.307 -5.620 -0.716
0.617 -3.417 4.075
```

=====

Record 20
A relaxed structure of RbNa2F. Source: Alexandria, functional PBE-GGA. Values from VASP.

## Properties
**Calculated volume**: 37.805 Å³/atom
**Formation energy without anion corrections**: -1.192 eV per atom
**SG**: I4_1/amd
**Polymorph energy (0 for the lowest one)**: 0.0 meV/atom
**Magnetic moment**: 0.000 μB per atom
**E_tot**: -2.56 eV per atom

```
&SYSTEM
  ibrav = 0, nat = 8, ntyp = 3
/
ATOMIC_SPECIES
Na 22.99 Na.upf
F 19.00 F.upf
Rb 85.47 Rb.upf
ATOMIC_POSITIONS angstrom
Na -2.237 -3.189 2.076
Na -4.297 -10.524 5.660
Na -0.975 -9.002 4.758
Na -0.725 -6.629 1.841
F 0.360 -8.292 3.014
F -1.807 -4.964 0.666
Rb 0.000 0.000 0.000
Rb -4.477 -6.379 4.153
CELL_PARAMETERS angstrom
-6.643 -3.050 1.804
3.029 -6.877 -0.472
-0.503 -4.744 5.835
```